(1)
Here is SbMo after structural relaxation from Alexandria via LeMat-Bulk. Energies are from PBE.

Lattice parameters (Å, degrees): 7.5959 7.5959 7.5959 90.00 90.00 90.00
Closest atoms and distances in Å follow each position.
Element x y z (fractional)
1 Sb 0.2500 0.0000 0.5000  4 Mo 2.69
2 Sb 0.7500 0.0000 0.5000  4 Mo 2.69
3 Sb 0.0000 0.5000 0.2500  4 Mo 2.69
4 Sb 0.0000 0.5000 0.7500  4 Mo 2.69
5 Sb 0.5000 0.2500 0.0000  4 Mo 2.69
6 Sb 0.5000 0.7500 0.0000  4 Mo 2.69
7 Mo 0.2500 0.5000 0.0000  4 Sb 2.69
8 Mo 0.7500 0.5000 0.0000  4 Sb 2.69
9 Mo 0.5000 0.0000 0.2500  4 Sb 2.69
10 Mo 0.5000 0.0000 0.7500  4 Sb 2.69
11 Mo 0.0000 0.2500 0.5000  4 Sb 2.69
12 Mo 0.0000 0.7500 0.5000  4 Sb 2.69

Output
DOS(E_F)	1.26	states/eV/atom
theoretical density	4.95	g/cm³
crystal system	cubic
formation energy from raw total energies	1.224	eV per atom

(2)
Here is AcTh3C8 after structural relaxation from Alexandria via LeMat-Bulk. Energies are from PBE.

Lattice parameters (Å, degrees): 6.5044 6.5031 6.5043 65.88 79.47 114.12
Closest atoms and distances in Å follow each position.
Element x y z (fractional)
1 Ac 0.0002 0.0000 0.9998  8 C 2.85-2.94
2 Th 0.7501 0.5000 0.7499  8 C 2.61-2.63
3 Th 0.2501 0.5000 0.2499  8 C 2.61-2.63
4 Th 0.5000 0.0000 0.5000  8 C 2.59-2.67
5 C 0.0951 0.0000 0.5537  1 C 1.33
6 C 0.5533 0.6485 0.4468  1 C 1.33
7 C 0.9047 0.3515 0.0953  1 C 1.33
8 C 0.4463 0.0000 0.9050  1 C 1.33
9 C 0.8878 0.0000 0.5816  1 C 1.33
10 C 0.5824 0.4705 0.4176  1 C 1.33
11 C 0.1119 0.5295 0.8881  1 C 1.33
12 C 0.4184 0.0000 0.1122  1 C 1.33

Output
DFT total energy	-99.254	eV per cell
DOS(E_F)	0.37	states/eV/atom
theoretical density	8.14	g/cm³
crystal system	tetragonal

(3)
Here is Li6In2Bi after structural relaxation from Alexandria via LeMat-Bulk. Energies are from PBE.

Lattice parameters (Å, degrees): 5.6167 5.6174 5.6174 93.73 86.24 86.24
Closest atoms and distances in Å follow each position.
Element x y z (fractional)
1 Li 0.1677 0.5002 0.1679  5 Li 2.72-3.02
2 Li 0.8323 0.8321 0.4998  5 Li 2.72-3.02
3 Li 0.8323 0.4998 0.8321  5 Li 2.72-3.02
4 Li 0.5000 0.8321 0.1679  5 Li 2.72-3.02
5 Li 0.1677 0.1679 0.5002  5 Li 2.72-3.02
6 Li 0.5000 0.1679 0.8321  5 Li 2.72-3.02
7 In 0.6575 0.3423 0.3423  1 In 2.86, 12 Li 3.08-3.17, 1 Bi 3.11
8 In 0.3425 0.6577 0.6577  1 In 2.86, 12 Li 3.08-3.17, 1 Bi 3.11
9 Bi 0.0000 0.0000 0.0000  2 In 3.11, 12 Li 3.13

Output
DFT total energy	-23.552	eV per cell
DOS(E_F)	0.45	states/eV/atom
theoretical density	4.53	g/cm³
crystal system	trigonal

(4)
Here is Pr3TeCN after structural relaxation from Alexandria via LeMat-Bulk. Energies are from PBE.

Lattice parameters (Å, degrees): 4.0546 7.7549 10.3890 110.69 90.00 90.00
Closest atoms and distances in Å follow each position.
Element x y z (fractional)
1 Pr 0.7500 0.9224 0.1729  1 N 2.24
2 Pr 0.2500 0.0776 0.8271  1 N 2.24
3 Pr 0.2500 0.7939 0.4411  3 N 2.36-2.40
4 Pr 0.7500 0.2061 0.5589  3 N 2.36-2.40
5 Pr 0.7500 0.4723 0.1344  1 C 2.41
6 Pr 0.2500 0.5277 0.8656  1 C 2.41
7 Te 0.2500 0.2948 0.3040  7 Pr 3.29-3.62
8 Te 0.7500 0.7052 0.6960  7 Pr 3.29-3.62
9 C 0.2500 0.6898 0.1105  3 Pr 2.41-2.64
10 C 0.7500 0.3102 0.8895  3 Pr 2.41-2.64
11 N 0.2500 0.0957 0.6162  4 Pr 2.24-2.40
12 N 0.7500 0.9043 0.3838  4 Pr 2.24-2.40

Output
theoretical density	6.26	g/cm³
crystal system	monoclinic
formation energy from raw total energies	-0.902	eV per atom

(5)
Here is FeSi2Ir after structural relaxation from Alexandria via LeMat-Bulk. Energies are from PBE.

Lattice parameters (Å, degrees): 3.8377 2.8263 4.9173 91.82 90.00 90.00
Closest atoms and distances in Å follow each position.
Element x y z (fractional)
1 Fe 0.5000 0.2500 0.2500  4 Si 2.37
2 Ir 0.5000 0.7500 0.7500  4 Si 2.40
3 Si 0.0000 0.9358 0.0267  2 Fe 2.37, 2 Ir 2.40, 1 Si 2.46
4 Si 0.0000 0.5642 0.4733  2 Fe 2.37, 2 Ir 2.40, 1 Si 2.46

Output
DOS(E_F)	0.56	states/eV/atom
theoretical density	9.48	g/cm³
crystal system	monoclinic
formation energy from raw total energies	-0.153	eV per atom

(6)
Here is Sm2MgAu after structural relaxation from Alexandria via LeMat-Bulk. Energies are from PBE.

Lattice parameters (Å, degrees): 5.2971 5.2971 5.2971 60.00 60.00 60.00
Closest atoms and distances in Å follow each position.
Element x y z (fractional)
1 Mg 0.5000 0.5000 0.5000  8 Sm 3.24
2 Au 0.0000 0.0000 0.0000  8 Sm 3.24
3 Sm 0.2500 0.2500 0.2500  4 Mg 3.24, 4 Au 3.24
4 Sm 0.7500 0.7500 0.7500  4 Mg 3.24, 4 Au 3.24

Output
DOS(E_F)	0.85	states/eV/atom
theoretical density	8.25	g/cm³
crystal system	cubic
polymorph energy (0 for the lowest one)	67	meV/atom

(7)
Here is TbTm7Mg2 after structural relaxation from Alexandria via LeMat-Bulk. Energies are from PBE.

Lattice parameters (Å, degrees): 5.1468 9.2374 9.2375 123.56 90.00 90.00
Closest atoms and distances in Å follow each position.
Element x y z (fractional)
1 Tb 0.0000 0.0000 0.0000  10 Tm 3.38-3.53
2 Tm 0.0000 0.7925 0.2075  2 Mg 2.98
3 Tm 0.0000 0.2075 0.7925  2 Mg 2.98
4 Tm 0.5000 0.0695 0.2934  2 Mg 3.13-3.45, 4 Tm 3.17-3.40
5 Tm 0.5000 0.9305 0.7066  2 Mg 3.13-3.45, 4 Tm 3.17-3.40
6 Tm 0.5000 0.2934 0.0695  2 Mg 3.13-3.45, 4 Tm 3.17-3.40
7 Tm 0.5000 0.7066 0.9305  2 Mg 3.13-3.45, 4 Tm 3.17-3.40
8 Tm 0.5000 0.5000 0.5000  2 Mg 3.25, 4 Tm 3.33
9 Mg 0.5000 0.6998 0.3002  5 Tm 2.98-3.25
10 Mg 0.5000 0.3002 0.6998  5 Tm 2.98-3.25

Output
DFT total energy	-33.142	eV per cell
DOS(E_F)	1.73	states/eV/atom
theoretical density	6.31	g/cm³
crystal system	orthorhombic

(8)
Here is Mg2GeRh2 after structural relaxation from Alexandria via LeMat-Bulk. Energies are from PBE.

Lattice parameters (Å, degrees): 6.3136 6.3136 4.2337 90.00 90.00 90.00
Closest atoms and distances in Å follow each position.
Element x y z (fractional)
1 Ge 0.0000 0.0000 0.0000  4 Rh 2.40
2 Ge 0.5000 0.5000 0.0000  4 Rh 2.40
3 Rh 0.3502 0.8502 0.0000  2 Ge 2.40, 1 Rh 2.67
4 Rh 0.8502 0.6498 0.0000  2 Ge 2.40, 1 Rh 2.67
5 Rh 0.6498 0.1498 0.0000  2 Ge 2.40, 1 Rh 2.67
6 Rh 0.1498 0.3502 0.0000  2 Ge 2.40, 1 Rh 2.67
7 Mg 0.1617 0.6617 0.5000  6 Rh 2.70-2.89, 1 Mg 2.89
8 Mg 0.6617 0.8383 0.5000  6 Rh 2.70-2.89, 1 Mg 2.89
9 Mg 0.8383 0.3383 0.5000  6 Rh 2.70-2.89, 1 Mg 2.89
10 Mg 0.3383 0.1617 0.5000  6 Rh 2.70-2.89, 1 Mg 2.89

Output
DOS(E_F)	0.54	states/eV/atom
theoretical density	6.44	g/cm³
crystal system	tetragonal
polymorph energy (0 for the lowest one)	0	meV/atom

Total magnetic moment (computed, μB per cell): 12.11; 0.00; 0.00; 0.00; 1.47; 0.00; 0.00; 0.00